{
  "formula": "V3SnF",
  "functional": "PBE with a Hubbard U",
  "state": "optimized geometry",
  "mass_density_g_cm3": 6.674,
  "polymorph_energy_mev_per_atom": 0,
  "energy_ev_per_cell": -24.59,
  "cell": [[4.1656, 0.0000, 0.0000], [0.0000, 4.1656, 0.0000], [0.0000, 0.0000, 4.1656]],
  "species": ["V", "V", "V", "Sn", "F"],
  "frac_coords": [[0.0000, 0.0000, 0.5000], [0.0000, 0.5000, 0.0000], [0.5000, 0.0000, 0.0000], [0.5000, 0.5000, 0.5000], [0.0000, 0.0000, 0.0000]]
}